Record 1
{
  "formula": "BaCeGa2Cl8",
  "functional": "GGA-PBE",
  "state": "optimized geometry",
  "e_form_raw_ev_per_atom": -1.666,
  "lattice": [[6.813, 0.000, 0.000], [0.000, 9.009, 0.000], [-0.110, 0.000, 6.862]],
  "species": ["Ba", "Ce", "Ga", "Ga", "Cl", "Cl", "Cl", "Cl", "Cl", "Cl", "Cl", "Cl"],
  "frac_coords": [[0.000, 0.000, 0.000], [0.000, 0.500, 0.000], [0.500, 0.236, 0.500], [0.500, 0.764, 0.500], [0.214, 0.281, 0.843], [0.214, 0.719, 0.843], [0.234, 0.500, 0.301], [0.290, 0.000, 0.344], [0.710, 0.000, 0.656], [0.766, 0.500, 0.699], [0.786, 0.281, 0.157], [0.786, 0.719, 0.157]]
}

---

Record 2
{
  "formula": "LaZnPt",
  "functional": "GGA-PBE",
  "state": "optimized geometry",
  "e_form_mev_per_atom": -874,
  "lattice": [[10.415, 0.000, 0.000], [0.000, 4.283, 0.000], [-4.282, 0.000, 5.984]],
  "species": ["La", "La", "La", "La", "Zn", "Zn", "Zn", "Zn", "Pt", "Pt", "Pt", "Pt"],
  "frac_coords": [[0.054, 0.000, 0.305], [0.446, 0.500, 0.695], [0.554, 0.500, 0.305], [0.946, 0.000, 0.695], [0.177, 0.500, 0.084], [0.323, 0.000, 0.916], [0.677, 0.000, 0.084], [0.823, 0.500, 0.916], [0.161, 0.500, 0.692], [0.339, 0.000, 0.308], [0.661, 0.000, 0.692], [0.839, 0.500, 0.308]]
}

---

Record 3
{
  "formula": "Li4Ga2Ag",
  "functional": "GGA-PBE",
  "state": "optimized geometry",
  "e_form_mev_per_atom": -21,
  "lattice": [[5.046, 0.000, 0.000], [0.000, 10.249, 0.000], [0.000, 0.000, 5.062]],
  "species": ["Li", "Li", "Li", "Li", "Li", "Li", "Li", "Li", "Ga", "Ga", "Ga", "Ga", "Ag", "Ag"],
  "frac_coords": [[0.000, 0.133, 0.000], [0.000, 0.334, 0.500], [0.000, 0.666, 0.500], [0.000, 0.867, 0.000], [0.500, 0.166, 0.500], [0.500, 0.367, 0.000], [0.500, 0.633, 0.000], [0.500, 0.834, 0.500], [0.000, 0.382, 0.000], [0.000, 0.618, 0.000], [0.500, 0.118, 0.000], [0.500, 0.882, 0.000], [0.000, 0.000, 0.500], [0.500, 0.500, 0.500]]
}

---

Record 4
{
  "formula": "BaZn2Pt2",
  "functional": "GGA-PBE",
  "state": "optimized geometry",
  "e_form_mev_per_atom": -635,
  "lattice": [[4.394, 0.000, 0.000], [0.000, 4.394, 0.000], [0.000, 0.000, 11.173]],
  "species": ["Ba", "Ba", "Zn", "Zn", "Zn", "Zn", "Pt", "Pt", "Pt", "Pt"],
  "frac_coords": [[0.000, 0.000, 0.000], [0.500, 0.500, 0.500], [0.000, 0.500, 0.250], [0.000, 0.500, 0.750], [0.500, 0.000, 0.250], [0.500, 0.000, 0.750], [0.000, 0.000, 0.377], [0.000, 0.000, 0.623], [0.500, 0.500, 0.123], [0.500, 0.500, 0.877]]
}

---

Record 5
{
  "formula": "ZrCuW2",
  "functional": "GGA-PBE",
  "state": "optimized geometry",
  "e_form_mev_per_atom": 304,
  "lattice": [[2.760, 0.000, 0.000], [0.000, 4.830, 0.000], [-0.562, 0.000, 5.033]],
  "species": ["Zr", "Cu", "W", "W"],
  "frac_coords": [[0.000, 0.000, 0.000], [0.500, 0.000, 0.500], [0.283, 0.500, 0.752], [0.717, 0.500, 0.248]]
}

---

Record 6
{
  "formula": "Al2ReSb",
  "functional": "GGA-PBE",
  "state": "optimized geometry",
  "e_form_raw_ev_per_atom": 0.380,
  "lattice": [[3.295, 0.000, 0.000], [0.000, 4.534, 0.000], [-1.625, 0.000, 4.943]],
  "species": ["Al", "Al", "Re", "Sb"],
  "frac_coords": [[0.159, 0.000, 0.277], [0.841, 0.000, 0.723], [0.500, 0.500, 0.500], [0.500, 0.500, 0.000]]
}

---

Record 7
{
  "formula": "SrNpSeO2",
  "functional": "GGA-PBE",
  "state": "optimized geometry",
  "e_form_raw_ev_per_atom": -2.549,
  "lattice": [[4.273, 0.000, 0.000], [0.000, 4.273, 0.000], [0.000, 0.000, 5.990]],
  "species": ["Sr", "Np", "Se", "O", "O"],
  "frac_coords": [[0.000, 0.000, 0.000], [0.500, 0.500, 0.344], [0.500, 0.500, 0.830], [0.000, 0.500, 0.275], [0.500, 0.000, 0.275]]
}

---

Record 8
{
  "formula": "Li2TaSb",
  "functional": "GGA-PBE",
  "state": "optimized geometry",
  "e_form_raw_ev_per_atom": 0.120,
  "lattice": [[3.031, 0.000, 0.000], [0.000, 3.698, 0.000], [0.000, 0.000, 6.510]],
  "species": ["Li", "Li", "Ta", "Sb"],
  "frac_coords": [[0.000, 0.000, 0.000], [0.500, 0.500, 0.208], [0.000, 0.000, 0.482], [0.500, 0.500, 0.743]]
}

---

Record 9
{
  "formula": "GeSeNO2",
  "functional": "GGA-PBE",
  "state": "optimized geometry",
  "e_form_raw_ev_per_atom": 0.213,
  "lattice": [[3.685, 0.000, 0.000], [0.000, 3.685, 0.000], [0.000, 0.000, 4.028]],
  "species": ["Ge", "Se", "N", "O", "O"],
  "frac_coords": [[0.000, 0.000, 0.000], [0.500, 0.500, 0.500], [0.000, 0.000, 0.500], [0.000, 0.500, 0.000], [0.500, 0.000, 0.000]]
}

---

Record 10
{
  "formula": "La2CuIr",
  "functional": "GGA-PBE",
  "state": "optimized geometry",
  "e_form_mev_per_atom": -134,
  "lattice": [[3.582, 0.000, 0.000], [0.000, 3.582, 0.000], [0.000, 0.000, 8.127]],
  "species": ["La", "La", "Cu", "Ir"],
  "frac_coords": [[0.000, 0.000, 0.000], [0.500, 0.500, 0.448], [0.000, 0.000, 0.648], [0.500, 0.500, 0.799]]
}

---

Record 11
{
  "formula": "Zr2CuHg",
  "functional": "GGA-PBE",
  "state": "optimized geometry",
  "e_form_mev_per_atom": 67,
  "lattice": [[3.153, 0.000, 0.000], [-1.576, 2.731, 0.000], [0.000, 0.000, 28.579]],
  "species": ["Zr", "Zr", "Zr", "Zr", "Zr", "Zr", "Cu", "Cu", "Cu", "Hg", "Hg", "Hg"],
  "frac_coords": [[0.000, 0.000, 0.242], [0.000, 0.000, 0.758], [0.333, 0.667, 0.425], [0.333, 0.667, 0.909], [0.667, 0.333, 0.091], [0.667, 0.333, 0.575], [0.000, 0.000, 0.500], [0.333, 0.667, 0.167], [0.667, 0.333, 0.833], [0.000, 0.000, 0.000], [0.333, 0.667, 0.667], [0.667, 0.333, 0.333]]
}

---

Record 12
{
  "formula": "Ca2Al4Ga3Cu",
  "functional": "GGA-PBE",
  "state": "optimized geometry",
  "e_form_mev_per_atom": -325,
  "lattice": [[4.220, 0.000, 0.000], [0.000, 4.220, 0.000], [0.000, 0.000, 11.054]],
  "species": ["Ca", "Ca", "Al", "Al", "Al", "Al", "Ga", "Ga", "Ga", "Cu"],
  "frac_coords": [[0.000, 0.500, 0.243], [0.500, 0.000, 0.757], [0.000, 0.000, 0.500], [0.000, 0.500, 0.872], [0.500, 0.000, 0.128], [0.500, 0.500, 0.500], [0.000, 0.000, 0.000], [0.000, 0.500, 0.643], [0.500, 0.000, 0.357], [0.500, 0.500, 0.000]]
}

---

| no. | volume (Å³ per atom) |
| --- | --- |
| 1 | 35.1 |
| 2 | 22.2 |
| 3 | 18.7 |
| 4 | 21.6 |
| 5 | 16.8 |
| 6 | 18.5 |
| 7 | 21.9 |
| 8 | 18.2 |
| 9 | 10.9 |
| 10 | 26.1 |
| 11 | 20.5 |
| 12 | 19.7 |